(one)
ZnGa2Si | PBE | relaxed

a = 5.7117 Å, b = 5.7117 Å, c = 5.7117 Å
α = 41.70°, β = 41.70°, γ = 41.70°
Fractional coordinates of all 4 atoms:
Zn (0.0000, 0.0000, 0.0000)
Ga (0.2419, 0.2419, 0.2419)
Ga (0.4228, 0.4228, 0.4228)
Si (0.8320, 0.8320, 0.8320)

Computed properties:
Crystal system ... trigonal

=====

(two)
ZnGa2Si | PBE | relaxed

a = 10.4413 Å, b = 10.4413 Å, c = 10.4413 Å
α = 15.41°, β = 15.41°, γ = 15.41°
Fractional coordinates of all 4 atoms:
Zn (0.0000, 0.0000, 0.0000)
Ga (0.0891, 0.0891, 0.0891)
Ga (0.9109, 0.9109, 0.9109)
Si (0.5000, 0.5000, 0.5000)

Computed properties:
Crystal system ... trigonal

=====

Unit: kJ/mol of atoms. Relative energies: (one) 0.0; (two) 5.2.

=====

(one)
Zr2Ga2Si | PBE | relaxed

a = 6.9884 Å, b = 6.9884 Å, c = 4.1376 Å
α = 90.00°, β = 90.00°, γ = 90.00°
Fractional coordinates of all 10 atoms:
Zr (0.1663, 0.3337, 0.0000)
Zr (0.3337, 0.8337, 0.0000)
Zr (0.6663, 0.1663, 0.0000)
Zr (0.8337, 0.6663, 0.0000)
Ga (0.1393, 0.6393, 0.5000)
Ga (0.3607, 0.1393, 0.5000)
Ga (0.6393, 0.8607, 0.5000)
Ga (0.8607, 0.3607, 0.5000)
Si (0.0000, 0.0000, 0.0000)
Si (0.5000, 0.5000, 0.0000)

Computed properties:
Crystal system ... tetragonal

=====

(two)
Zr2Ga2Si | PBE | relaxed

a = 6.6524 Å, b = 6.6524 Å, c = 4.0991 Å
α = 90.00°, β = 90.00°, γ = 90.00°
Fractional coordinates of all 10 atoms:
Zr (0.1774, 0.3226, 0.0000)
Zr (0.3226, 0.8226, 0.0000)
Zr (0.6774, 0.1774, 0.0000)
Zr (0.8226, 0.6774, 0.0000)
Ga (0.1301, 0.6301, 0.5000)
Ga (0.3699, 0.1301, 0.5000)
Ga (0.6301, 0.8699, 0.5000)
Ga (0.8699, 0.3699, 0.5000)
Si (0.0000, 0.0000, 0.5000)
Si (0.5000, 0.5000, 0.5000)

Computed properties:
Crystal system ... tetragonal

=====

Unit: kJ/mol of atoms. Relative energies: (one) 3.0; (two) 0.0.

=====

(one)
ZrGa2Si2 | PBE | relaxed

a = 7.5971 Å, b = 7.5971 Å, c = 7.5971 Å
α = 152.95°, β = 152.95°, γ = 38.63°
Fractional coordinates of all 5 atoms:
Zr (0.0000, 0.0000, 0.0000)
Ga (0.3984, 0.3984, 0.0000)
Ga (0.6016, 0.6016, 0.0000)
Si (0.2500, 0.7500, 0.5000)
Si (0.7500, 0.2500, 0.5000)

Computed properties:
Crystal system ... tetragonal

=====

(two)
ZrGa2Si2 | PBE | relaxed

a = 6.9595 Å, b = 6.9595 Å, c = 3.5774 Å
α = 90.00°, β = 90.00°, γ = 90.00°
Fractional coordinates of all 10 atoms:
Zr (0.0000, 0.0000, 0.0000)
Zr (0.5000, 0.5000, 0.0000)
Ga (0.1713, 0.3287, 0.5000)
Ga (0.3287, 0.8287, 0.5000)
Ga (0.6713, 0.1713, 0.5000)
Ga (0.8287, 0.6713, 0.5000)
Si (0.1249, 0.6249, 0.0000)
Si (0.3751, 0.1249, 0.0000)
Si (0.6249, 0.8751, 0.0000)
Si (0.8751, 0.3751, 0.0000)

Computed properties:
Crystal system ... tetragonal

=====

(three)
ZrGa2Si2 | PBE | relaxed

a = 7.0779 Å, b = 7.0779 Å, c = 3.4404 Å
α = 90.00°, β = 90.00°, γ = 90.00°
Fractional coordinates of all 10 atoms:
Zr (0.0000, 0.0000, 0.0000)
Zr (0.5000, 0.5000, 0.0000)
Ga (0.1279, 0.3721, 0.0000)
Ga (0.3721, 0.8721, 0.0000)
Ga (0.6279, 0.1279, 0.0000)
Ga (0.8721, 0.6279, 0.0000)
Si (0.1689, 0.6689, 0.5000)
Si (0.3311, 0.1689, 0.5000)
Si (0.6689, 0.8311, 0.5000)
Si (0.8311, 0.3311, 0.5000)

Computed properties:
Crystal system ... tetragonal

=====

Unit: kJ/mol of atoms. Relative energies: (one) 23.5; (two) 0.0; (three) 13.0.

=====

(one)
ZrGaSi3 | PBE | relaxed

a = 4.6722 Å, b = 4.6722 Å, c = 4.6722 Å
α = 90.00°, β = 90.00°, γ = 90.00°
Fractional coordinates of all 5 atoms:
Zr (0.0000, 0.0000, 0.0000)
Ga (0.5000, 0.5000, 0.5000)
Si (0.0000, 0.5000, 0.5000)
Si (0.5000, 0.0000, 0.5000)
Si (0.5000, 0.5000, 0.0000)

Computed properties:
Crystal system ... cubic

=====

(two)
ZrGaSi3 | PBE | relaxed

a = 5.1005 Å, b = 5.1005 Å, c = 5.1005 Å
α = 90.00°, β = 90.00°, γ = 90.00°
Fractional coordinates of all 5 atoms:
Zr (0.0000, 0.0000, 0.0000)
Ga (0.5000, 0.5000, 0.5000)
Si (0.0000, 0.0000, 0.5000)
Si (0.0000, 0.5000, 0.0000)
Si (0.5000, 0.0000, 0.0000)

Computed properties:
Crystal system ... cubic

=====

Unit: kJ/mol of atoms. Relative energies: (one) 12.3; (two) 0.0.

=====

(one)
Sm5Ga3 | PBE | relaxed

a = 7.7762 Å, b = 7.7762 Å, c = 14.4937 Å
α = 90.00°, β = 90.00°, γ = 90.00°
Fractional coordinates of all 32 atoms:
Sm (0.0644, 0.5931, 0.1033)
Sm (0.0644, 0.9069, 0.6033)
Sm (0.0931, 0.5644, 0.3967)
Sm (0.0931, 0.9356, 0.8967)
Sm (0.2500, 0.2500, 0.2214)
Sm (0.2500, 0.2500, 0.7214)
Sm (0.4069, 0.5644, 0.8967)
Sm (0.4069, 0.9356, 0.3967)
Sm (0.4356, 0.5931, 0.6033)
Sm (0.4356, 0.9069, 0.1033)
Sm (0.5644, 0.0931, 0.8967)
Sm (0.5644, 0.4069, 0.3967)
Sm (0.5931, 0.0644, 0.6033)
Sm (0.5931, 0.4356, 0.1033)
Sm (0.7500, 0.7500, 0.2786)
Sm (0.7500, 0.7500, 0.7786)
Sm (0.9069, 0.0644, 0.1033)
Sm (0.9069, 0.4356, 0.6033)
Sm (0.9356, 0.0931, 0.3967)
Sm (0.9356, 0.4069, 0.8967)
Ga (0.1297, 0.6297, 0.7500)
Ga (0.1297, 0.8703, 0.2500)
Ga (0.2500, 0.2500, 0.0067)
Ga (0.2500, 0.2500, 0.5067)
Ga (0.3703, 0.6297, 0.2500)
Ga (0.3703, 0.8703, 0.7500)
Ga (0.6297, 0.1297, 0.2500)
Ga (0.6297, 0.3703, 0.7500)
Ga (0.7500, 0.7500, 0.4933)
Ga (0.7500, 0.7500, 0.9933)
Ga (0.8703, 0.1297, 0.7500)
Ga (0.8703, 0.3703, 0.2500)

Computed properties:
Crystal system ... tetragonal

=====

(two)
Sm5Ga3 | PBE | relaxed

a = 9.1301 Å, b = 9.1301 Å, c = 9.1301 Å
α = 129.81°, β = 129.81°, γ = 73.71°
Fractional coordinates of all 16 atoms:
Sm (0.0000, 0.0000, 0.0000)
Sm (0.0245, 0.5245, 0.8459)
Sm (0.1786, 0.0245, 0.5000)
Sm (0.3214, 0.8214, 0.8459)
Sm (0.4755, 0.3214, 0.5000)
Sm (0.5000, 0.5000, 0.0000)
Sm (0.5245, 0.6786, 0.5000)
Sm (0.6786, 0.1786, 0.1541)
Sm (0.8214, 0.9755, 0.5000)
Sm (0.9755, 0.4755, 0.1541)
Ga (0.1187, 0.3813, 0.5000)
Ga (0.2500, 0.2500, 0.0000)
Ga (0.3813, 0.8813, 0.2626)
Ga (0.6187, 0.1187, 0.7374)
Ga (0.7500, 0.7500, 0.0000)
Ga (0.8813, 0.6187, 0.5000)

Computed properties:
Crystal system ... tetragonal

=====

Unit: kJ/mol of atoms. Relative energies: (one) 0.0; (two) 1.1.

=====

(one)
Sm5Ga2 | PBE | relaxed

a = 8.5815 Å, b = 8.5815 Å, c = 8.3235 Å
α = 97.32°, β = 97.32°, γ = 42.99°
Fractional coordinates of all 14 atoms:
Sm (0.1305, 0.8695, 0.7500)
Sm (0.1342, 0.3080, 0.3195)
Sm (0.2686, 0.5424, 0.0768)
Sm (0.3080, 0.1342, 0.8195)
Sm (0.4576, 0.7314, 0.4232)
Sm (0.5424, 0.2686, 0.5768)
Sm (0.6920, 0.8658, 0.1805)
Sm (0.7314, 0.4576, 0.9232)
Sm (0.8658, 0.6920, 0.6805)
Sm (0.8695, 0.1305, 0.2500)
Ga (0.0902, 0.7045, 0.4175)
Ga (0.2955, 0.9098, 0.0825)
Ga (0.7045, 0.0902, 0.9175)
Ga (0.9098, 0.2955, 0.5825)

Computed properties:
Crystal system ... monoclinic

=====

(two)
Sm5Ga2 | PBE | relaxed

a = 9.0265 Å, b = 9.0265 Å, c = 9.0265 Å
α = 127.21°, β = 70.26°, γ = 137.14°
Fractional coordinates of all 14 atoms:
Sm (0.0132, 0.2500, 0.7632)
Sm (0.0787, 0.6580, 0.7367)
Sm (0.2500, 0.2500, 0.0000)
Sm (0.4213, 0.1580, 0.5793)
Sm (0.4868, 0.2500, 0.2368)
Sm (0.5132, 0.7500, 0.7632)
Sm (0.5787, 0.8420, 0.4207)
Sm (0.7500, 0.7500, 0.0000)
Sm (0.9213, 0.3420, 0.2633)
Sm (0.9868, 0.7500, 0.2368)
Ga (0.1266, 0.2704, 0.3970)
Ga (0.3734, 0.7704, 0.1438)
Ga (0.6266, 0.2296, 0.8562)
Ga (0.8734, 0.7296, 0.6030)

Computed properties:
Crystal system ... orthorhombic

=====

Unit: kJ/mol of atoms. Relative energies: (one) 0.0; (two) 1.0.

=====

(one)
SmGa5 | PBE | relaxed

a = 6.4170 Å, b = 6.4170 Å, c = 4.6883 Å
α = 90.00°, β = 90.00°, γ = 141.81°
Fractional coordinates of all 6 atoms:
Sm (0.0000, 0.0000, 0.0000)
Ga (0.1742, 0.8258, 0.5000)
Ga (0.3156, 0.6844, 0.0000)
Ga (0.5000, 0.5000, 0.5000)
Ga (0.6844, 0.3156, 0.0000)
Ga (0.8258, 0.1742, 0.5000)

Computed properties:
Crystal system ... orthorhombic

=====

(two)
SmGa5 | PBE | relaxed

a = 5.8711 Å, b = 5.8711 Å, c = 5.8711 Å
α = 138.32°, β = 113.03°, γ = 82.06°
Fractional coordinates of all 6 atoms:
Sm (0.0000, 0.0000, 0.0000)
Ga (0.1256, 0.3374, 0.7883)
Ga (0.4509, 0.6626, 0.7883)
Ga (0.5000, 0.0000, 0.5000)
Ga (0.5491, 0.3374, 0.2117)
Ga (0.8744, 0.6626, 0.2117)

Computed properties:
Crystal system ... orthorhombic

=====

Unit: kJ/mol of atoms. Relative energies: (one) 3.2; (two) 0.0.

=====

(one)
SmGa2Sn | PBE | relaxed

a = 4.5301 Å, b = 4.5301 Å, c = 4.3696 Å
α = 90.00°, β = 90.00°, γ = 90.00°
Fractional coordinates of all 4 atoms:
Sm (0.0000, 0.0000, 0.0000)
Ga (0.0000, 0.5000, 0.5000)
Ga (0.5000, 0.0000, 0.5000)
Sn (0.5000, 0.5000, 0.0000)

Computed properties:
Crystal system ... tetragonal

=====

(two)
SmGa2Sn | PBE | relaxed

a = 5.7169 Å, b = 5.7169 Å, c = 5.7169 Å
α = 48.22°, β = 48.22°, γ = 48.22°
Fractional coordinates of all 4 atoms:
Sm (0.0000, 0.0000, 0.0000)
Ga (0.2274, 0.2274, 0.2274)
Ga (0.7726, 0.7726, 0.7726)
Sn (0.5000, 0.5000, 0.5000)

Computed properties:
Crystal system ... trigonal

=====

Unit: kJ/mol of atoms. Relative energies: (one) 0.0; (two) 20.7.

=====

(one)
Sm3GaSn3 | PBE | relaxed

a = 9.0313 Å, b = 9.0313 Å, c = 6.1552 Å
α = 90.00°, β = 90.00°, γ = 120.00°
Fractional coordinates of all 14 atoms:
Sm (0.0812, 0.6733, 0.2500)
Sm (0.3267, 0.4080, 0.2500)
Sm (0.4080, 0.0812, 0.7500)
Sm (0.5920, 0.9188, 0.2500)
Sm (0.6733, 0.5920, 0.7500)
Sm (0.9188, 0.3267, 0.7500)
Ga (0.3333, 0.6667, 0.7500)
Ga (0.6667, 0.3333, 0.2500)
Sn (0.0688, 0.7365, 0.7500)
Sn (0.2635, 0.3323, 0.7500)
Sn (0.3323, 0.0688, 0.2500)
Sn (0.6677, 0.9312, 0.7500)
Sn (0.7365, 0.6677, 0.2500)
Sn (0.9312, 0.2635, 0.2500)

Computed properties:
Crystal system ... hexagonal

=====

(two)
Sm3GaSn3 | PBE | relaxed

a = 6.2265 Å, b = 6.2265 Å, c = 15.2727 Å
α = 105.93°, β = 105.93°, γ = 42.07°
Fractional coordinates of all 14 atoms:
Sm (0.0116, 0.0116, 0.3780)
Sm (0.1063, 0.1063, 0.9236)
Sm (0.2294, 0.2294, 0.2320)
Sm (0.7706, 0.7706, 0.7680)
Sm (0.8937, 0.8937, 0.0764)
Sm (0.9884, 0.9884, 0.6220)
Ga (0.2753, 0.2753, 0.6300)
Ga (0.7247, 0.7247, 0.3700)
Sn (0.3568, 0.3568, 0.4607)
Sn (0.3785, 0.3785, 0.9229)
Sn (0.5003, 0.5003, 0.2260)
Sn (0.4997, 0.4997, 0.7740)
Sn (0.6215, 0.6215, 0.0771)
Sn (0.6432, 0.6432, 0.5393)

Computed properties:
Crystal system ... monoclinic

=====

Unit: kJ/mol of atoms. Relative energies: (one) 26.2; (two) 0.0.

=====

(one)
SmTmGaSn | PBE | relaxed

a = 4.1701 Å, b = 6.0306 Å, c = 6.0306 Å
α = 43.65°, β = 90.00°, γ = 90.00°
Fractional coordinates of all 4 atoms:
Sm (0.0000, 0.0000, 0.0000)
Tm (0.5000, 0.2780, 0.2780)
Ga (0.5000, 0.5502, 0.5502)
Sn (0.0000, 0.7174, 0.7174)

Computed properties:
Crystal system ... orthorhombic

=====

(two)
SmTmGaSn | PBE | relaxed

a = 5.2400 Å, b = 5.2400 Å, c = 5.2400 Å
α = 60.00°, β = 60.00°, γ = 60.00°
Fractional coordinates of all 4 atoms:
Sm (0.0000, 0.0000, 0.0000)
Tm (0.5000, 0.5000, 0.5000)
Ga (0.7500, 0.7500, 0.7500)
Sn (0.2500, 0.2500, 0.2500)

Computed properties:
Crystal system ... cubic

=====

Unit: kJ/mol of atoms. Relative energies: (one) 0.0; (two) 14.8.

=====

(one)
SmYGaSn | PBE | relaxed

a = 4.1966 Å, b = 6.0768 Å, c = 6.0768 Å
α = 43.60°, β = 90.00°, γ = 90.00°
Fractional coordinates of all 4 atoms:
Sm (0.0000, 0.0000, 0.0000)
Y (0.5000, 0.2787, 0.2787)
Ga (0.5000, 0.5511, 0.5511)
Sn (0.0000, 0.7164, 0.7164)

Computed properties:
Crystal system ... orthorhombic

=====

(two)
SmYGaSn | PBE | relaxed

a = 5.2751 Å, b = 5.2751 Å, c = 5.2751 Å
α = 60.00°, β = 60.00°, γ = 60.00°
Fractional coordinates of all 4 atoms:
Sm (0.0000, 0.0000, 0.0000)
Y (0.5000, 0.5000, 0.5000)
Ga (0.7500, 0.7500, 0.7500)
Sn (0.2500, 0.2500, 0.2500)

Computed properties:
Crystal system ... cubic

=====

Unit: kJ/mol of atoms. Relative energies: (one) 0.0; (two) 15.6.